{
  "formula": "VCu3Br",
  "functional": "PBE",
  "state": "relaxed",
  "lattice_angstrom": [[4.7346, 0.0000, 0.0000], [0.0000, 4.7346, 0.0000], [0.0000, 0.0000, 4.7346]],
  "species": ["V", "Cu", "Cu", "Cu", "Br"],
  "frac_coords": [[0.0000, 0.0000, 0.0000], [0.0000, 0.0000, 0.5000], [0.0000, 0.5000, 0.0000], [0.5000, 0.0000, 0.0000], [0.5000, 0.5000, 0.5000]],
  "sg": "Pm-3m (221)",
  "formation_energy_uncorrected_mev_per_atom": 1283
}

{
  "formula": "Li2AgP",
  "functional": "PBE",
  "state": "relaxed",
  "lattice_angstrom": [[4.0956, -1.4292, 0.0000], [4.0956, 1.4292, 0.0000], [-0.7646, 0.0000, 5.2333]],
  "species": ["Li", "Li", "Ag", "P"],
  "frac_coords": [[0.2388, 0.2388, 0.2079], [0.7612, 0.7612, 0.7921], [0.0000, 0.0000, 0.5000], [0.5000, 0.5000, 0.0000]],
  "delta_e_f_ev_per_atom": -0.240,
  "sg": "C2/m (12)"
}